No. 1
{"formula": "SiHg3B", "functional": "GGA-PBE", "state": "relaxed", "e_form_raw_ev_per_fu": 4.6, "de_polymorph_ev_per_atom": 0.000, "space_group": "Pm-3m, No. 221", "volume_a3_per_atom": 21.0, "lattice_angstrom": [[-1.668, 3.176, -3.066], [-0.998, -3.464, -3.045], [-4.300, -0.428, 1.896]], "species": ["Si", "B", "Hg", "Hg", "Hg"], "fractional_positions": [[0.500, 0.500, 0.500], [0.000, 0.000, 0.000], [0.500, 0.000, 0.000], [0.000, 0.000, 0.500], [0.000, 0.500, 0.000]]}

No. 2
{"formula": "SiHg2B2", "functional": "GGA-PBE", "state": "relaxed", "e_form_raw_ev_per_fu": 6.3, "de_polymorph_ev_per_atom": 0.243, "space_group": "P4/mbm, No. 127", "volume_a3_per_atom": 16.9, "lattice_angstrom": [[7.709, 0.000, 0.000], [0.000, 7.709, 0.000], [0.000, 0.000, 2.852]], "species": ["Hg", "Hg", "Hg", "Hg", "B", "B", "B", "B", "Si", "Si"], "fractional_positions": [[0.252, 0.248, 0.000], [0.748, 0.752, 0.000], [0.248, 0.748, 0.000], [0.752, 0.252, 0.000], [0.073, 0.573, 0.500], [0.427, 0.073, 0.500], [0.573, 0.927, 0.500], [0.927, 0.427, 0.500], [0.500, 0.500, 0.000], [0.000, 0.000, 0.000]]}

No. 3
{"formula": "Si3HgB", "functional": "GGA-PBE", "state": "relaxed", "e_form_raw_ev_per_fu": 3.7, "de_polymorph_ev_per_atom": 0.000, "space_group": "Pm-3m, No. 221", "volume_a3_per_atom": 15.6, "lattice_angstrom": [[4.272, 0.000, 0.000], [0.000, 4.272, 0.000], [0.000, 0.000, 4.272]], "species": ["Si", "Si", "Si", "Hg", "B"], "fractional_positions": [[0.500, 0.000, 0.000], [0.000, 0.000, 0.500], [0.000, 0.500, 0.000], [0.500, 0.500, 0.500], [0.000, 0.000, 0.000]]}